Below is a relaxed structure of Pr5Dy4Tm2, with properties calculated at the PBE level.

Distance to the lowest polymorph of the same formula, meV per atom: 0
Crystal system: monoclinic
VASP energy, eV/atom: -4.581

a b c (Å): 9.049 9.049 11.682
angles (deg): 93.86 93.86 22.71
Positions (direct):
1 Pr 0.000 0.000 0.000
2 Pr 0.323 0.323 0.928
3 Pr 0.402 0.402 0.464
4 Pr 0.598 0.598 0.536
5 Pr 0.677 0.677 0.072
6 Dy 0.141 0.141 0.795
7 Dy 0.463 0.463 0.738
8 Dy 0.537 0.537 0.262
9 Dy 0.859 0.859 0.205
10 Tm 0.216 0.216 0.353
11 Tm 0.784 0.784 0.647